Entry 1:
19
Lattice="4.714 11.489 0.456 -4.714 11.489 0.456 0.000 6.148 6.224" Properties=species:S:1:pos:R:3 comment="La5Dy12Th2 | the Alexandria database | PBE | optimized geometry" ef_ev_per_atom=0.1369 space_group="No. 12" pbc="T T T"
Dy -3.043 8.458 0.619
Th -1.619 11.489 0.456
Dy -3.043 20.669 6.518
Dy 0.000 6.172 4.639
Dy -1.802 17.009 3.142
Dy 3.043 20.669 6.518
La 0.000 3.074 3.112
Dy 0.000 14.132 1.889
Dy 1.802 12.118 3.995
Th 1.619 11.489 0.456
La 0.000 5.966 0.872
Dy 3.043 8.458 0.619
La 0.000 23.161 6.266
La 0.000 9.138 2.664
Dy -1.802 12.118 3.995
Dy 0.000 14.995 5.248
Dy 0.000 22.954 2.499
Dy 1.802 17.009 3.142
La 0.000 19.989 4.473

Entry 2:
14
Lattice="-3.703 7.184 -3.684 -8.822 0.886 -0.536 -4.346 5.988 4.914" Properties=species:S:1:pos:R:3 comment="PmSm3Dy3 | the Alexandria database | PBE | optimized geometry" ef_ev_per_atom=0.2077 space_group="No. 148" polymorph_energy_mev_per_atom=187.7 pbc="T T T"
Dy -8.624 3.167 -1.189
Sm -9.084 4.527 2.150
Dy -10.519 8.404 -2.981
Sm -7.787 9.531 -1.455
Sm -7.974 6.095 -2.627
Pm -5.846 4.871 0.241
Sm -5.839 8.457 1.420
Sm -8.897 7.963 3.321
Dy -4.860 7.708 -1.670
Dy -6.352 5.654 3.676
Sm -11.032 5.601 -0.725
Pm -11.025 9.187 0.454
Dy -8.247 10.891 1.884
Dy -12.011 6.350 2.364

| no. | volume (Å³ per atom) |
| --- | --- |
| 1 | 34.1 |
| 2 | 34.3 |